! CdHg2NCl (PBE-GGA, optimized geometry); values from VASP
! - Raw formation energy: 0.303 eV per atom
! - Raw total energy: -10.2 eV per cell
! - Crystal system: tetragonal
! - Symmetry: P4/mmm (123)
&SYSTEM
  ibrav = 0, nat = 5, ntyp = 4
/
ATOMIC_SPECIES
Cd 112.41 Cd.upf
Hg 200.59 Hg.upf
N 14.01 N.upf
Cl 35.45 Cl.upf
CELL_PARAMETERS angstrom
5.0203 0.0000 0.0000
0.0000 5.0203 0.0000
0.0000 0.0000 4.4347
ATOMIC_POSITIONS crystal
Cd 0.0000 0.0000 0.0000
Hg 0.0000 0.5000 0.5000
Hg 0.5000 0.0000 0.5000
N 0.0000 0.0000 0.5000
Cl 0.5000 0.5000 0.0000

! NaCdHgCl2 (PBE-GGA, optimized geometry); values from VASP
! - Raw formation energy: -0.319 eV per atom
! - Raw total energy: -7.8 eV per cell
! - Crystal system: tetragonal
! - Symmetry: P4/mmm (123)
&SYSTEM
  ibrav = 0, nat = 5, ntyp = 4
/
ATOMIC_SPECIES
Na 22.99 Na.upf
Cd 112.41 Cd.upf
Hg 200.59 Hg.upf
Cl 35.45 Cl.upf
CELL_PARAMETERS angstrom
5.4893 0.0000 0.0000
0.0000 5.4893 0.0000
0.0000 0.0000 5.9413
ATOMIC_POSITIONS crystal
Na 0.0000 0.0000 0.0000
Cd 0.5000 0.5000 0.0000
Hg 0.0000 0.0000 0.5000
Cl 0.0000 0.5000 0.5000
Cl 0.5000 0.0000 0.5000

! NbCd2HgCl (PBE-GGA, optimized geometry); values from VASP
! - Raw formation energy: 0.751 eV per atom
! - Raw total energy: -10.3 eV per cell
! - Crystal system: tetragonal
! - Symmetry: P4/mmm (123)
&SYSTEM
  ibrav = 0, nat = 5, ntyp = 4
/
ATOMIC_SPECIES
Nb 92.91 Nb.upf
Cd 112.41 Cd.upf
Hg 200.59 Hg.upf
Cl 35.45 Cl.upf
CELL_PARAMETERS angstrom
5.3081 0.0000 0.0000
0.0000 5.3081 0.0000
0.0000 0.0000 5.5183
ATOMIC_POSITIONS crystal
Nb 0.0000 0.0000 0.0000
Cd 0.0000 0.5000 0.5000
Cd 0.5000 0.0000 0.5000
Hg 0.0000 0.0000 0.5000
Cl 0.5000 0.5000 0.0000

! Cd2HgCl2O2 (PBE-GGA, optimized geometry); values from VASP
! - Raw formation energy: -0.892 eV per atom
! - Raw total energy: -22.0 eV per cell
! - Crystal system: monoclinic
! - Symmetry: C2/m (12)
&SYSTEM
  ibrav = 0, nat = 7, ntyp = 4
/
ATOMIC_SPECIES
Cd 112.41 Cd.upf
Hg 200.59 Hg.upf
Cl 35.45 Cl.upf
O 16.00 O.upf
CELL_PARAMETERS angstrom
6.4825 -1.8626 0.0000
6.4825 1.8626 0.0000
-2.1887 0.0000 6.0549
ATOMIC_POSITIONS crystal
Cd 0.2426 0.2426 0.2684
Cd 0.7574 0.7574 0.7316
Hg 0.0000 0.0000 0.5000
Cl 0.3745 0.3745 0.0186
Cl 0.6255 0.6255 0.9814
O 0.1631 0.1631 0.5387
O 0.8369 0.8369 0.4613

! CdHgP2Cl (PBE-GGA, optimized geometry); values from VASP
! - Raw formation energy: 0.745 eV per atom
! - Raw total energy: -10.2 eV per cell
! - Crystal system: tetragonal
! - Distance to the lowest polymorph of the same formula: 0.000 eV per atom
! - Symmetry: P4/mmm (123)
&SYSTEM
  ibrav = 0, nat = 5, ntyp = 4
/
ATOMIC_SPECIES
Cd 112.41 Cd.upf
Hg 200.59 Hg.upf
P 30.97 P.upf
Cl 35.45 Cl.upf
CELL_PARAMETERS angstrom
5.1141 0.0000 0.0000
0.0000 5.1141 0.0000
0.0000 0.0000 5.3131
ATOMIC_POSITIONS crystal
Cd 0.0000 0.0000 0.0000
Hg 0.5000 0.5000 0.5000
P 0.0000 0.5000 0.0000
P 0.5000 0.0000 0.0000
Cl 0.0000 0.0000 0.5000

! CdHgP2Cl (PBE-GGA, optimized geometry); values from VASP
! - Raw formation energy: 0.831 eV per atom
! - Raw total energy: -9.7 eV per cell
! - Crystal system: tetragonal
! - Distance to the lowest polymorph of the same formula: 0.087 eV per atom
! - Symmetry: P4/mmm (123)
&SYSTEM
  ibrav = 0, nat = 5, ntyp = 4
/
ATOMIC_SPECIES
Cd 112.41 Cd.upf
Hg 200.59 Hg.upf
P 30.97 P.upf
Cl 35.45 Cl.upf
CELL_PARAMETERS angstrom
5.0077 0.0000 0.0000
0.0000 5.0077 0.0000
0.0000 0.0000 5.5134
ATOMIC_POSITIONS crystal
Cd 0.0000 0.0000 0.0000
Hg 0.5000 0.5000 0.5000
P 0.0000 0.5000 0.5000
P 0.5000 0.0000 0.5000
Cl 0.5000 0.5000 0.0000

! Rb2CdHgCl6 (PBE-GGA, optimized geometry); values from VASP
! - Raw formation energy: -1.293 eV per atom
! - Raw total energy: -27.2 eV per cell
! - Crystal system: triclinic
! - Symmetry: P-1 (2)
&SYSTEM
  ibrav = 0, nat = 10, ntyp = 4
/
ATOMIC_SPECIES
Rb 85.47 Rb.upf
Cd 112.41 Cd.upf
Hg 200.59 Hg.upf
Cl 35.45 Cl.upf
CELL_PARAMETERS angstrom
7.1651 0.0000 0.0000
-3.4085 6.6487 0.0000
-3.4339 -2.3634 6.3926
ATOMIC_POSITIONS crystal
Rb 0.0187 0.2670 0.2737
Rb 0.9813 0.7330 0.7263
Cd 0.5000 0.0000 0.5000
Hg 0.5000 0.5000 0.0000
Cl 0.0248 0.8249 0.3101
Cl 0.3765 0.6895 0.1538
Cl 0.4738 0.7301 0.7013
Cl 0.5262 0.2699 0.2987
Cl 0.6235 0.3105 0.8462
Cl 0.9752 0.1751 0.6899

! Rb3Cd2HgCl9 (PBE-GGA, optimized geometry); values from VASP
! - Raw formation energy: -1.331 eV per atom
! - Raw total energy: -41.6 eV per cell
! - Crystal system: trigonal
! - Symmetry: P-3m1 (164)
&SYSTEM
  ibrav = 0, nat = 15, ntyp = 4
/
ATOMIC_SPECIES
Rb 85.47 Rb.upf
Cd 112.41 Cd.upf
Hg 200.59 Hg.upf
Cl 35.45 Cl.upf
CELL_PARAMETERS angstrom
7.5054 0.0000 0.0000
-3.7527 6.4999 0.0000
0.0000 0.0000 9.1949
ATOMIC_POSITIONS crystal
Rb 0.0000 0.0000 0.0000
Rb 0.3333 0.6667 0.6658
Rb 0.6667 0.3333 0.3342
Cd 0.3333 0.6667 0.1642
Cd 0.6667 0.3333 0.8358
Hg 0.0000 0.0000 0.5000
Cl 0.0000 0.5000 0.0000
Cl 0.1681 0.3363 0.3310
Cl 0.1681 0.8319 0.3310
Cl 0.3363 0.1681 0.6690
Cl 0.5000 0.0000 0.0000
Cl 0.5000 0.5000 0.0000
Cl 0.6637 0.8319 0.3310
Cl 0.8319 0.1681 0.6690
Cl 0.8319 0.6637 0.6690

! RbCdHgCl6 (PBE-GGA, optimized geometry); values from VASP
! - Raw formation energy: -0.926 eV per atom
! - Raw total energy: -21.6 eV per cell
! - Crystal system: monoclinic
! - Symmetry: C2 (5)
&SYSTEM
  ibrav = 0, nat = 9, ntyp = 4
/
ATOMIC_SPECIES
Rb 85.47 Rb.upf
Cd 112.41 Cd.upf
Hg 200.59 Hg.upf
Cl 35.45 Cl.upf
CELL_PARAMETERS angstrom
3.6230 -5.6713 0.0000
3.6230 5.6713 0.0000
-0.4505 0.0000 7.2909
ATOMIC_POSITIONS crystal
Rb 0.0000 0.0000 0.0000
Cd 0.3172 0.6828 0.5000
Hg 0.6690 0.3310 0.5000
Cl 0.0022 0.3719 0.6969
Cl 0.0028 0.6135 0.2677
Cl 0.3843 0.3793 0.2909
Cl 0.3865 0.9972 0.7323
Cl 0.6207 0.6157 0.7091
Cl 0.6281 0.9978 0.3031

! CdHgSCl2 (PBE-GGA, optimized geometry); values from VASP
! - Raw formation energy: -0.102 eV per atom
! - Raw total energy: -9.5 eV per cell
! - Crystal system: tetragonal
! - Distance to the lowest polymorph of the same formula: 0.000 eV per atom
! - Symmetry: P4/mmm (123)
&SYSTEM
  ibrav = 0, nat = 5, ntyp = 4
/
ATOMIC_SPECIES
Cd 112.41 Cd.upf
Hg 200.59 Hg.upf
S 32.06 S.upf
Cl 35.45 Cl.upf
CELL_PARAMETERS angstrom
5.0404 0.0000 0.0000
0.0000 5.0404 0.0000
0.0000 0.0000 5.3758
ATOMIC_POSITIONS crystal
Cd 0.0000 0.0000 0.0000
Hg 0.5000 0.5000 0.5000
S 0.0000 0.0000 0.5000
Cl 0.0000 0.5000 0.0000
Cl 0.5000 0.0000 0.0000

! CdHgSCl2 (PBE-GGA, optimized geometry); values from VASP
! - Raw formation energy: 0.048 eV per atom
! - Raw total energy: -8.8 eV per cell
! - Crystal system: tetragonal
! - Distance to the lowest polymorph of the same formula: 0.150 eV per atom
! - Symmetry: P4/mmm (123)
&SYSTEM
  ibrav = 0, nat = 5, ntyp = 4
/
ATOMIC_SPECIES
Cd 112.41 Cd.upf
Hg 200.59 Hg.upf
S 32.06 S.upf
Cl 35.45 Cl.upf
CELL_PARAMETERS angstrom
5.1595 0.0000 0.0000
0.0000 5.1595 0.0000
0.0000 0.0000 5.1556
ATOMIC_POSITIONS crystal
Cd 0.0000 0.0000 0.0000
Hg 0.5000 0.5000 0.5000
S 0.5000 0.5000 0.0000
Cl 0.0000 0.5000 0.5000
Cl 0.5000 0.0000 0.5000

! CdSi2HgCl (PBE-GGA, optimized geometry); values from VASP
! - Raw formation energy: 0.887 eV per atom
! - Raw total energy: -9.5 eV per cell
! - Crystal system: tetragonal
! - Symmetry: P4/mmm (123)
&SYSTEM
  ibrav = 0, nat = 5, ntyp = 4
/
ATOMIC_SPECIES
Cd 112.41 Cd.upf
Si 28.09 Si.upf
Hg 200.59 Hg.upf
Cl 35.45 Cl.upf
CELL_PARAMETERS angstrom
4.8214 0.0000 0.0000
0.0000 4.8214 0.0000
0.0000 0.0000 5.5855
ATOMIC_POSITIONS crystal
Cd 0.0000 0.0000 0.0000
Si 0.0000 0.5000 0.5000
Si 0.5000 0.0000 0.5000
Hg 0.5000 0.5000 0.0000
Cl 0.0000 0.0000 0.5000